The following is a DFT calculation (PBE-GGA) of a relaxed SrCr2Tc crystal.

POSCAR file:
```
SrCr2Tc
1.0
-2.671 3.657 1.313
-3.628 -1.761 -2.443
2.157 -2.639 3.258
Sr Cr Tc
1 2 1
direct
0.500 0.500 0.000
0.000 0.000 0.000
0.250 0.750 0.500
0.750 0.250 0.500
```

Offset from the most stable computed form: 386 meV per atom
Density: 6.5 Mg/m³
D(E_F): 1.112 states/eV per atom
Formation energy from the elements: 0.9751 eV/atom